[1]
Entry from Alexandria: an optimized crystal structure of La2TbHoS6 (PBE).

Values from the calculation:
- formation energy from raw total energies (meV per atom) = -2107

a = 7.1430 Å, b = 7.1430 Å, c = 18.5400 Å
α = 90.00°, β = 90.00°, γ = 120.00°
Space group R3 (No. 146, hexagonal axes)
Inequivalent atoms, fractional coordinates:
La  0.0000  0.0000  0.0000 (multiplicity 3)
La  0.0000  0.0000  0.4997 (multiplicity 3)
Tb  0.0000  0.0000  0.2095 (multiplicity 3)
Ho  0.0000  0.0000  0.7089 (multiplicity 3)
S  0.0535  0.6968  0.7778 (multiplicity 9)
S  0.0546  0.3601  0.2783 (multiplicity 9)

---

[2]
Entry from Alexandria: an optimized crystal structure of LaTb4HoS8 (PBE).

Values from the calculation:
- formation energy from raw total energies (meV per atom) = -1949

a = 8.1490 Å, b = 8.1490 Å, c = 19.9056 Å
α = 90.00°, β = 90.00°, γ = 120.00°
Space group R3m (No. 160, hexagonal axes)
Inequivalent atoms, fractional coordinates:
La  0.0000  0.0000  0.0000 (multiplicity 3)
Tb  0.0000  0.0000  0.2492 (multiplicity 3)
Tb  0.0026  0.5013  0.1249 (multiplicity 9)
Ho  0.0000  0.0000  0.6239 (multiplicity 3)
S  0.0000  0.0000  0.3811 (multiplicity 3)
S  0.0000  0.0000  0.8628 (multiplicity 3)
S  0.0339  0.5170  0.3779 (multiplicity 9)
S  0.1769  0.3538  0.2067 (multiplicity 9)

---

[3]
Entry from Alexandria: an optimized crystal structure of LaTb2Ho3S6 (PBE).

Values from the calculation:
- formation energy from raw total energies (meV per atom) = -2016

a = 6.812 Å, b = 11.839 Å, c = 6.846 Å
α = 90.00°, β = 109.48°, γ = 90.00°
Space group C2/m (No. 12)
Inequivalent atoms, fractional coordinates:
La  0.000  0.000  0.000 (multiplicity 2)
Tb  0.000  0.333  0.000 (multiplicity 4)
Ho  0.000  0.163  0.500 (multiplicity 4)
Ho  0.000  0.500  0.500 (multiplicity 2)
S  0.241  0.329  0.739 (multiplicity 8)
S  0.243  0.500  0.258 (multiplicity 4)

---

[4]
Entry from Alexandria: an optimized crystal structure of La4Tb3HoS8 (PBE).

Values from the calculation:
- formation energy from raw total energies (meV per atom) = -2088

a = 8.0218 Å, b = 8.0218 Å, c = 20.0198 Å
α = 90.00°, β = 90.00°, γ = 120.00°
Space group R-3m (No. 166, hexagonal axes)
Inequivalent atoms, fractional coordinates:
La  0.0000  0.0000  0.0000 (multiplicity 3)
La  0.0000  0.5000  0.0000 (multiplicity 9)
Tb  0.0000  0.5000  0.5000 (multiplicity 9)
Ho  0.0000  0.0000  0.5000 (multiplicity 3)
S  0.0000  0.0000  0.2437 (multiplicity 6)
S  0.0021  0.5011  0.2433 (multiplicity 18)

---

[5]
Entry from Alexandria: an optimized crystal structure of LaTbHo2S4 (PBE).

Values from the calculation:
- formation energy from raw total energies (meV per atom) = -2023

a = 6.870 Å, b = 3.920 Å, c = 6.920 Å
α = 90.00°, β = 108.95°, γ = 90.00°
Space group P2/m (No. 10)
Inequivalent atoms, fractional coordinates:
La  0.000  0.000  0.000 (multiplicity 1)
Tb  0.500  0.500  0.000 (multiplicity 1)
Ho  0.000  0.500  0.500 (multiplicity 1)
Ho  0.500  0.000  0.500 (multiplicity 1)
S  0.254  0.000  0.740 (multiplicity 2)
S  0.263  0.500  0.266 (multiplicity 2)

---

[6]
Entry from Alexandria: an optimized crystal structure of LaHoTe2S (PBE).

Values from the calculation:
- formation energy from raw total energies (meV per atom) = -1570

a = 4.492 Å, b = 4.492 Å, c = 15.697 Å
α = 90.00°, β = 90.00°, γ = 90.00°
Space group P4/nmm (No. 129, origin choice 2)
Inequivalent atoms, fractional coordinates:
La  0.250  0.250  0.107 (multiplicity 2)
Ho  0.250  0.250  0.610 (multiplicity 2)
Te  0.250  0.250  0.407 (multiplicity 2)
Te  0.250  0.250  0.793 (multiplicity 2)
S  0.250  0.750  0.000 (multiplicity 2)

---

[7]
Entry from Alexandria: an optimized crystal structure of La2HoTe2S2 (PBE).

Values from the calculation:
- formation energy from raw total energies (meV per atom) = -1678

a = 5.078 Å, b = 5.078 Å, c = 16.300 Å
α = 90.00°, β = 90.00°, γ = 90.00°
Space group I4/mmm (No. 139)
Inequivalent atoms, fractional coordinates:
La  0.000  0.000  0.117 (multiplicity 4)
Ho  0.000  0.000  0.500 (multiplicity 2)
Te  0.000  0.000  0.316 (multiplicity 4)
S  0.000  0.500  0.000 (multiplicity 4)

---

[8]
Entry from Alexandria: an optimized crystal structure of La4HoTh3S8 (PBE).

Values from the calculation:
- formation energy from raw total energies (meV per atom) = -2019

a = 8.1460 Å, b = 8.1460 Å, c = 20.0218 Å
α = 90.00°, β = 90.00°, γ = 120.00°
Space group R-3m (No. 166, hexagonal axes)
Inequivalent atoms, fractional coordinates:
La  0.0000  0.0000  0.0000 (multiplicity 3)
La  0.0000  0.5000  0.0000 (multiplicity 9)
Ho  0.0000  0.0000  0.5000 (multiplicity 3)
Th  0.0000  0.5000  0.5000 (multiplicity 9)
S  0.0000  0.0000  0.2481 (multiplicity 6)
S  0.0078  0.5039  0.2459 (multiplicity 18)

---

[9]
Entry from Alexandria: an optimized crystal structure of LaHo2ThS4 (PBE).

Values from the calculation:
- formation energy from raw total energies (meV per atom) = -1983

a = 6.845 Å, b = 3.939 Å, c = 7.038 Å
α = 90.00°, β = 108.86°, γ = 90.00°
Space group P2/m (No. 10)
Inequivalent atoms, fractional coordinates:
La  0.000  0.000  0.000 (multiplicity 1)
Ho  0.000  0.500  0.500 (multiplicity 1)
Ho  0.500  0.000  0.500 (multiplicity 1)
Th  0.500  0.500  0.000 (multiplicity 1)
S  0.247  0.000  0.731 (multiplicity 2)
S  0.260  0.500  0.271 (multiplicity 2)

---

[10]
Entry from Alexandria: an optimized crystal structure of La3HoTl4S8 (PBE).

Values from the calculation:
- formation energy from raw total energies (meV per atom) = -1511

a = 8.4348 Å, b = 8.4348 Å, c = 22.3817 Å
α = 90.00°, β = 90.00°, γ = 120.00°
Space group R-3m (No. 166, hexagonal axes)
Inequivalent atoms, fractional coordinates:
La  0.0000  0.5000  0.0000 (multiplicity 9)
Ho  0.0000  0.0000  0.0000 (multiplicity 3)
Tl  0.0000  0.0000  0.5000 (multiplicity 3)
Tl  0.0000  0.5000  0.5000 (multiplicity 9)
S  0.0000  0.0000  0.2647 (multiplicity 6)
S  0.0123  0.5062  0.7338 (multiplicity 18)

---

[11]
Entry from Alexandria: an optimized crystal structure of La2HoTl3S6 (PBE).

Values from the calculation:
- formation energy from raw total energies (meV per atom) = -1511

a = 7.269 Å, b = 12.581 Å, c = 7.847 Å
α = 90.00°, β = 107.94°, γ = 90.00°
Space group C2/m (No. 12)
Inequivalent atoms, fractional coordinates:
La  0.000  0.167  0.000 (multiplicity 4)
Ho  0.000  0.500  0.000 (multiplicity 2)
Tl  0.000  0.000  0.500 (multiplicity 2)
Tl  0.000  0.334  0.500 (multiplicity 4)
S  0.227  0.340  0.201 (multiplicity 8)
S  0.248  0.000  0.204 (multiplicity 4)

---

[12]
Entry from Alexandria: an optimized crystal structure of La2HoTmS6 (PBE).

Values from the calculation:
- formation energy from raw total energies (meV per atom) = -2109

a = 7.1072 Å, b = 7.1072 Å, c = 18.3881 Å
α = 90.00°, β = 90.00°, γ = 120.00°
Space group R3 (No. 146, hexagonal axes)
Inequivalent atoms, fractional coordinates:
La  0.0000  0.0000  0.0000 (multiplicity 3)
La  0.0000  0.0000  0.4996 (multiplicity 3)
Ho  0.0000  0.0000  0.2897 (multiplicity 3)
Tm  0.0000  0.0000  0.7903 (multiplicity 3)
S  0.0212  0.3897  0.0535 (multiplicity 9)
S  0.0245  0.6337  0.5531 (multiplicity 9)

---

[13]
Entry from Alexandria: an optimized crystal structure of La3Ho2TmS6 (PBE).

Values from the calculation:
- formation energy from raw total energies (meV per atom) = -2075

a = 6.864 Å, b = 11.917 Å, c = 7.080 Å
α = 90.00°, β = 108.94°, γ = 90.00°
Space group C2/m (No. 12)
Inequivalent atoms, fractional coordinates:
La  0.000  0.000  0.000 (multiplicity 2)
La  0.000  0.332  0.000 (multiplicity 4)
Ho  0.000  0.167  0.500 (multiplicity 4)
Tm  0.000  0.500  0.500 (multiplicity 2)
S  0.240  0.335  0.726 (multiplicity 8)
S  0.245  0.000  0.726 (multiplicity 4)

---

[14]
Entry from Alexandria: an optimized crystal structure of LaHoTm2S6 (PBE).

Values from the calculation:
- formation energy from raw total energies (meV per atom) = -2080

a = 6.9621 Å, b = 6.9621 Å, c = 18.3912 Å
α = 90.00°, β = 90.00°, γ = 120.00°
Space group R3 (No. 146, hexagonal axes)
Inequivalent atoms, fractional coordinates:
La  0.0000  0.0000  0.0000 (multiplicity 3)
Ho  0.0000  0.0000  0.4902 (multiplicity 3)
Tm  0.0000  0.0000  0.2878 (multiplicity 3)
Tm  0.0000  0.0000  0.7929 (multiplicity 3)
S  0.0086  0.3092  0.8872 (multiplicity 9)
S  0.0253  0.6315  0.0543 (multiplicity 9)

---

[15]
Entry from Alexandria: an optimized crystal structure of LaHoTm4S8 (PBE).

Values from the calculation:
- formation energy from raw total energies (meV per atom) = -1932

a = 8.0285 Å, b = 8.0285 Å, c = 19.7315 Å
α = 90.00°, β = 90.00°, γ = 120.00°
Space group R3m (No. 160, hexagonal axes)
Inequivalent atoms, fractional coordinates:
La  0.0000  0.0000  0.0000 (multiplicity 3)
Ho  0.0000  0.0000  0.6247 (multiplicity 3)
Tm  0.0000  0.0000  0.2509 (multiplicity 3)
Tm  0.0027  0.5013  0.1260 (multiplicity 9)
S  0.0000  0.0000  0.3827 (multiplicity 3)
S  0.0000  0.0000  0.8616 (multiplicity 3)
S  0.0344  0.5172  0.3810 (multiplicity 9)
S  0.1747  0.3495  0.2058 (multiplicity 9)

---

[16]
Entry from Alexandria: an optimized crystal structure of La3Ho3TmS8 (PBE).

Values from the calculation:
- formation energy from raw total energies (meV per atom) = -2101

a = 7.9147 Å, b = 7.9147 Å, c = 20.0667 Å
α = 90.00°, β = 90.00°, γ = 120.00°
Space group R-3m (No. 166, hexagonal axes)
Inequivalent atoms, fractional coordinates:
La  0.0000  0.5000  0.0000 (multiplicity 9)
Ho  0.0000  0.5000  0.5000 (multiplicity 9)
Tm  0.0000  0.0000  0.5000 (multiplicity 3)
S  0.0000  0.0000  0.2428 (multiplicity 6)
S  0.0010  0.5005  0.2426 (multiplicity 18)

---

[17]
Entry from Alexandria: an optimized crystal structure of LaHoTmS3 (PBE).

Values from the calculation:
- formation energy from raw total energies (meV per atom) = -1833

a = 7.627 Å, b = 3.947 Å, c = 9.960 Å
α = 90.00°, β = 102.77°, γ = 90.00°
Space group P2_1/m (No. 11)
Inequivalent atoms, fractional coordinates:
La  0.182  0.250  0.206 (multiplicity 2)
Ho  0.183  0.250  0.622 (multiplicity 2)
Tm  0.333  0.750  0.908 (multiplicity 2)
S  0.097  0.250  0.886 (multiplicity 2)
S  0.191  0.750  0.438 (multiplicity 2)
S  0.477  0.750  0.183 (multiplicity 2)

---

[18]
Entry from Alexandria: an optimized crystal structure of LaHo2US8 (PBE).

Values from the calculation:
- formation energy from raw total energies (meV per atom) = -1523

a = 5.961 Å, b = 6.176 Å, c = 8.440 Å
α = 90.00°, β = 90.05°, γ = 90.42°
Space group P-1 (No. 2)
Inequivalent atoms, fractional coordinates:
La  0.000  0.000  0.000 (multiplicity 1)
Ho  0.500  0.500  0.259 (multiplicity 2)
U  0.000  0.000  0.500 (multiplicity 1)
S  0.228  0.440  0.000 (multiplicity 2)
S  0.246  0.346  0.500 (multiplicity 2)
S  0.249  0.870  0.275 (multiplicity 2)
S  0.249  0.871  0.726 (multiplicity 2)

---

[19]
Entry from Alexandria: an optimized crystal structure of LaY2HoS4 (PBE).

Values from the calculation:
- formation energy from raw total energies (meV per atom) = -2021

a = 6.886 Å, b = 3.933 Å, c = 6.921 Å
α = 90.00°, β = 109.03°, γ = 90.00°
Space group P2/m (No. 10)
Inequivalent atoms, fractional coordinates:
La  0.000  0.000  0.000 (multiplicity 1)
Y  0.500  0.000  0.500 (multiplicity 1)
Y  0.500  0.500  0.000 (multiplicity 1)
Ho  0.000  0.500  0.500 (multiplicity 1)
S  0.253  0.000  0.741 (multiplicity 2)
S  0.261  0.500  0.264 (multiplicity 2)

---

[20]
Entry from Alexandria: an optimized crystal structure of La4YHo3S8 (PBE).

Values from the calculation:
- formation energy from raw total energies (meV per atom) = -2079

a = 7.9790 Å, b = 7.9790 Å, c = 20.0634 Å
α = 90.00°, β = 90.00°, γ = 120.00°
Space group R-3m (No. 166, hexagonal axes)
Inequivalent atoms, fractional coordinates:
La  0.0000  0.0000  0.0000 (multiplicity 3)
La  0.0000  0.5000  0.0000 (multiplicity 9)
Y  0.0000  0.0000  0.5000 (multiplicity 3)
Ho  0.0000  0.5000  0.5000 (multiplicity 9)
S  0.0000  0.0000  0.2423 (multiplicity 6)
S  0.0016  0.5008  0.7574 (multiplicity 18)

---

Number 1: total DFT energy (no corrections) -0.47702 Ry/atom. Number 2: total DFT energy (no corrections) -0.46376 Ry/atom. Number 3: total DFT energy (no corrections) -0.47090 Ry/atom. Number 4: total DFT energy (no corrections) -0.48050 Ry/atom. Number 5: total DFT energy (no corrections) -0.47233 Ry/atom. Number 6: total DFT energy (no corrections) -0.40818 Ry/atom. Number 7: total DFT energy (no corrections) -0.42749 Ry/atom. Number 8: total DFT energy (no corrections) -0.51387 Ry/atom. Number 9: total DFT energy (no corrections) -0.49501 Ry/atom. Number 10: total DFT energy (no corrections) -0.39517 Ry/atom. Number 11: total DFT energy (no corrections) -0.39458 Ry/atom. Number 12: total DFT energy (no corrections) -0.47598 Ry/atom. Number 13: total DFT energy (no corrections) -0.47820 Ry/atom. Number 14: total DFT energy (no corrections) -0.47048 Ry/atom. Number 15: total DFT energy (no corrections) -0.45911 Ry/atom. Number 16: total DFT energy (no corrections) -0.47786 Ry/atom. Number 17: total DFT energy (no corrections) -0.45758 Ry/atom. Number 18: total DFT energy (no corrections) -0.46954 Ry/atom. Number 19: total DFT energy (no corrections) -0.50636 Ry/atom. Number 20: total DFT energy (no corrections) -0.48782 Ry/atom.